(1)
# Pm6Nd2Y3 | Alexandria via LeMat-Bulk | PBE-GGA | optimized geometry
data_Pm6Nd2Y3
_cell_length_a 4.8264
_cell_length_b 4.8264
_cell_length_c 33.8594
_cell_angle_alpha 90.00
_cell_angle_beta 90.00
_cell_angle_gamma 90.00
_symmetry_space_group_name_H-M 'I 4/m m m'
_symmetry_Int_Tables_number 139
_symmetry_space_group_name_Hall '-I 4 2'
loop_
_atom_site_label
_atom_site_type_symbol
_atom_site_fract_x
_atom_site_fract_y
_atom_site_fract_z
Pm1 Pm 0.0000 0.0000 0.1953
Pm2 Pm 0.0000 0.5000 0.1209
Nd1 Nd 0.0000 0.0000 0.0455
Y1 Y 0.0000 0.0000 0.2979
Y2 Y 0.0000 0.0000 0.5000
# Energy relative to the elements, kJ per mole of atoms: 26.1

---

(2)
# Pm4NdY4 | Alexandria via LeMat-Bulk | PBE-GGA | optimized geometry
data_Pm4NdY4
_cell_length_a 10.8604
_cell_length_b 10.8604
_cell_length_c 5.1074
_cell_angle_alpha 90.00
_cell_angle_beta 90.00
_cell_angle_gamma 90.00
_symmetry_space_group_name_H-M 'I 4/m m m'
_symmetry_Int_Tables_number 139
_symmetry_space_group_name_Hall '-I 4 2'
loop_
_atom_site_label
_atom_site_type_symbol
_atom_site_fract_x
_atom_site_fract_y
_atom_site_fract_z
Pm1 Pm 0.0000 0.3329 0.0000
Nd1 Nd 0.0000 0.0000 0.0000
Y1 Y 0.1667 0.1667 0.5000
# Energy relative to the elements, kJ per mole of atoms: 1.4

---

(3)
# Pm2Nd5Y3 | Alexandria via LeMat-Bulk | PBE-GGA | optimized geometry
data_Pm2Nd5Y3
_cell_length_a 12.2821
_cell_length_b 17.4011
_cell_length_c 6.5365
_cell_angle_alpha 90.00
_cell_angle_beta 90.00
_cell_angle_gamma 90.00
_symmetry_space_group_name_H-M 'I b a m'
_symmetry_Int_Tables_number 72
_symmetry_space_group_name_Hall '-I 2 2c'
loop_
_atom_site_label
_atom_site_type_symbol
_atom_site_fract_x
_atom_site_fract_y
_atom_site_fract_z
Pm1 Pm 0.0859 0.1689 0.0000
Nd1 Nd 0.0000 0.5000 0.2500
Nd2 Nd 0.2438 0.3308 0.0000
Nd3 Nd 0.2480 0.0000 0.2500
Y1 Y 0.0000 0.0000 0.2500
Y2 Y 0.0910 0.3319 0.5000
# Energy relative to the elements, kJ per mole of atoms: 26.0

---

(4)
# Pm2NdY | Alexandria via LeMat-Bulk | PBE-GGA | optimized geometry
data_Pm2NdY
_cell_length_a 3.6603
_cell_length_b 3.6603
_cell_length_c 35.3670
_cell_angle_alpha 90.00
_cell_angle_beta 90.00
_cell_angle_gamma 120.00
_symmetry_space_group_name_H-M 'R 3 m'
_symmetry_Int_Tables_number 160
_symmetry_space_group_name_Hall 'R 3 -2"'
loop_
_atom_site_label
_atom_site_type_symbol
_atom_site_fract_x
_atom_site_fract_y
_atom_site_fract_z
Pm1 Pm 0.0000 0.0000 0.0000
Pm2 Pm 0.0000 0.0000 0.1642
Nd1 Nd 0.0000 0.0000 0.5827
Y1 Y 0.0000 0.0000 0.4158
# Energy relative to the elements, kJ per mole of atoms: 0.9

---

(5)
# PmNd3Y6 | Alexandria via LeMat-Bulk | PBE-GGA | optimized geometry
data_PmNd3Y6
_cell_length_a 11.0139
_cell_length_b 19.0170
_cell_length_c 6.4452
_cell_angle_alpha 90.00
_cell_angle_beta 90.00
_cell_angle_gamma 90.00
_symmetry_space_group_name_H-M 'C m c 21'
_symmetry_Int_Tables_number 36
loop_
_symmetry_equiv_pos_as_xyz
'x,y,z'
'-x,-y,z+1/2'
'-x,y,z'
'x,-y,z+1/2'
'x+1/2,y+1/2,z'
'-x+1/2,-y+1/2,z+1/2'
'-x+1/2,y+1/2,z'
'x+1/2,-y+1/2,z+1/2'
loop_
_atom_site_label
_atom_site_type_symbol
_atom_site_fract_x
_atom_site_fract_y
_atom_site_fract_z
Pm1 Pm 0.0000 0.1928 0.0000
Nd1 Nd 0.0000 0.3873 0.0701
Nd2 Nd 0.1792 0.1142 0.6787
Y1 Y 0.0000 0.0394 0.2774
Y2 Y 0.0000 0.2682 0.4787
Y3 Y 0.1674 0.4560 0.5899
Y4 Y 0.2368 0.2919 0.7661
# Energy relative to the elements, kJ per mole of atoms: 13.5

---

(6)
# PmNd3Y12 | Alexandria via LeMat-Bulk | PBE-GGA | optimized geometry
data_PmNd3Y12
_cell_length_a 5.0853
_cell_length_b 5.0853
_cell_length_c 20.3513
_cell_angle_alpha 90.00
_cell_angle_beta 90.00
_cell_angle_gamma 90.00
_symmetry_space_group_name_H-M 'P 4/m m m'
_symmetry_Int_Tables_number 123
_symmetry_space_group_name_Hall '-P 4 2'
loop_
_atom_site_label
_atom_site_type_symbol
_atom_site_fract_x
_atom_site_fract_y
_atom_site_fract_z
Pm1 Pm 0.0000 0.0000 0.0000
Nd1 Nd 0.0000 0.0000 0.2497
Nd2 Nd 0.0000 0.0000 0.5000
Y1 Y 0.0000 0.5000 0.1245
Y2 Y 0.0000 0.5000 0.3748
Y3 Y 0.5000 0.5000 0.0000
Y4 Y 0.5000 0.5000 0.2496
Y5 Y 0.5000 0.5000 0.5000
# Energy relative to the elements, kJ per mole of atoms: 2.0

---

(7)
# Pm2Nd7Y2 | Alexandria via LeMat-Bulk | PBE-GGA | optimized geometry
data_Pm2Nd7Y2
_cell_length_a 11.7057
_cell_length_b 11.5639
_cell_length_c 6.1518
_cell_angle_alpha 90.00
_cell_angle_beta 112.27
_cell_angle_gamma 90.00
_symmetry_space_group_name_H-M 'C 1 2/m 1'
_symmetry_Int_Tables_number 12
loop_
_symmetry_equiv_pos_as_xyz
'x,y,z'
'-x,-y,-z'
'-x,y,-z'
'x,-y,z'
'x+1/2,y+1/2,z'
'-x+1/2,-y+1/2,-z'
'-x+1/2,y+1/2,-z'
'x+1/2,-y+1/2,z'
loop_
_atom_site_label
_atom_site_type_symbol
_atom_site_fract_x
_atom_site_fract_y
_atom_site_fract_z
Pm1 Pm 0.0771 0.0000 0.3008
Nd1 Nd 0.0000 0.5000 0.5000
Nd2 Nd 0.1814 0.2708 0.6760
Nd3 Nd 0.2306 0.5000 0.0976
Y1 Y 0.0000 0.2828 0.0000
# Energy relative to the elements, kJ per mole of atoms: 12.8

---

(8)
# Pm5Nd2Y12 | Alexandria via LeMat-Bulk | PBE-GGA | optimized geometry
data_Pm5Nd2Y12
_cell_length_a 6.2512
_cell_length_b 9.5264
_cell_length_c 11.3783
_cell_angle_alpha 68.87
_cell_angle_beta 89.91
_cell_angle_gamma 83.78
_symmetry_space_group_name_H-M 'P -1'
_symmetry_Int_Tables_number 2
loop_
_symmetry_equiv_pos_as_xyz
'x,y,z'
'-x,-y,-z'
loop_
_atom_site_label
_atom_site_type_symbol
_atom_site_fract_x
_atom_site_fract_y
_atom_site_fract_z
Pm1 Pm 0.0000 0.0000 0.0000
Pm2 Pm 0.2102 0.7367 0.5790
Pm3 Pm 0.4733 0.1571 0.0524
Nd1 Nd 0.2632 0.4210 0.4731
Y1 Y 0.0531 0.6845 0.8950
Y2 Y 0.1058 0.3688 0.7905
Y3 Y 0.1583 0.0516 0.6840
Y4 Y 0.3159 0.1055 0.3683
Y5 Y 0.3680 0.7899 0.2623
Y6 Y 0.4212 0.4727 0.1566
# Energy relative to the elements, kJ per mole of atoms: 1.5